This record from Alexandria via LeMat-Bulk describes a relaxed TeSeS4 crystal. The functional is PBE-GGA.

## Properties
Space group ... No. 2
Raw formation energy ... 0.123 eV per atom
Crystal system ... triclinic
Calculated total energy ... -3.7334 eV per atom
M_tot ... 0.0 μB per cell

abc: 6.472 3.685 11.206
angles: 106.30 120.26 109.07
Element x y z (fractional)
Te 0.000 0.000 0.000
Se 0.000 0.000 0.500
S 0.426 0.858 0.134
S 0.574 0.142 0.866
S 0.381 0.821 0.620
S 0.619 0.179 0.380